Record 1
A geometry-optimized Al3FeRe structure. Source: Alexandria, functional PBE-GGA.

DFT formation energy = 0.761 eV per atom
total moment = 2.97 μB/f.u.
ΔE to the lowest computed polymorph = 0.000 eV/atom
DOS(E_F) = 3.37 states/eV/f.u.

a = 4.3453 Å, b = 4.3453 Å, c = 4.3453 Å
α = 90.00°, β = 90.00°, γ = 90.00°
Last column: nearest neighbours and their distance in Å.
Space group Pm-3m (No. 221)
Asymmetric unit:
Al (0.0000, 0.0000, 0.5000) x3  2 Fe 2.17
Fe (0.0000, 0.0000, 0.0000) x1  6 Al 2.17
Re (0.5000, 0.5000, 0.5000) x1  12 Al 3.07

---

Record 2
A geometry-optimized AlFeRe2 structure. Source: Alexandria, functional PBE-GGA.

DFT formation energy = 0.023 eV per atom
total moment = 0.65 μB/f.u.
DOS(E_F) = 3.98 states/eV/f.u.

a = 3.6997 Å, b = 3.6997 Å, c = 8.0356 Å
α = 90.00°, β = 90.00°, γ = 90.00°
Last column: nearest neighbours and their distance in Å.
Space group I4/mmm (No. 139)
Asymmetric unit:
Al (0.0000, 0.0000, 0.0000) x2  4 Fe 2.62, 8 Re 2.73
Fe (0.0000, 0.0000, 0.5000) x2  4 Al 2.62, 8 Re 2.73
Re (0.0000, 0.5000, 0.2500) x4  4 Re 2.62, 4 Fe 2.73, 4 Al 2.73

---

Record 3
A geometry-optimized AlFeRe2 structure. Source: Alexandria, functional PBE-GGA.

DFT formation energy = 0.085 eV per atom
total moment = 1.85 μB/f.u.
DOS(E_F) = 3.60 states/eV/f.u.

a = 5.2093 Å, b = 7.7898 Å, c = 2.7550 Å
α = 90.00°, β = 90.00°, γ = 90.00°
Last column: nearest neighbours and their distance in Å.
Space group Cmmm (No. 65)
Asymmetric unit:
Al (0.0000, 0.0000, 0.0000) x2  2 Fe 2.60, 8 Re 2.72, 2 Al 2.76
Fe (0.0000, 0.5000, 0.0000) x2  2 Al 2.60, 8 Re 2.72, 2 Fe 2.76
Re (0.2500, 0.2500, 0.5000) x4  4 Re 2.60-2.76, 4 Fe 2.72, 4 Al 2.72

---

Record 4
A geometry-optimized Al3Fe4Re structure. Source: Alexandria, functional PBE-GGA.

DFT formation energy = -0.249 eV per atom
total moment = 1.14 μB/f.u.
DOS(E_F) = 7.77 states/eV/f.u.

a = 2.8308 Å, b = 2.8308 Å, c = 11.9490 Å
α = 90.00°, β = 90.00°, γ = 90.00°
Last column: nearest neighbours and their distance in Å.
Space group P4/mmm (No. 123)
Asymmetric unit:
Al (0.0000, 0.0000, 0.0000) x1  8 Fe 2.46
Al (0.0000, 0.0000, 0.2419) x2  8 Fe 2.47-2.50
Fe (0.5000, 0.5000, 0.1204) x2  8 Al 2.46-2.47
Fe (0.5000, 0.5000, 0.3674) x2  4 Al 2.50, 4 Re 2.55
Re (0.0000, 0.0000, 0.5000) x1  8 Fe 2.55, 4 Re 2.83

---

Record 5
A geometry-optimized AlFe2Re structure. Source: Alexandria, functional PBE-GGA.

DFT formation energy = 0.020 eV per atom
total moment = 3.01 μB/f.u.
DOS(E_F) = 3.79 states/eV/f.u.

a = 2.6855 Å, b = 2.6855 Å, c = 24.9742 Å
α = 90.00°, β = 90.00°, γ = 120.00°
Last column: nearest neighbours and their distance in Å.
Space group R-3m (No. 166, hexagonal axes)
Asymmetric unit:
Al (0.0000, 0.0000, 0.0000) x3  6 Fe 2.58, 6 Al 2.69
Fe (0.0000, 0.0000, 0.2510) x6  3 Al 2.58, 3 Re 2.62, 6 Fe 2.69
Re (0.0000, 0.0000, 0.5000) x3  6 Fe 2.62, 6 Re 2.69

---

Record 6
A geometry-optimized Al2Fe2Re structure. Source: Alexandria, functional PBE-GGA.

DFT formation energy = -0.139 eV per atom
total moment = 0.00 μB/f.u.
ΔE to the lowest computed polymorph = 0.000 eV/atom
DOS(E_F) = 2.79 states/eV/f.u.

a = 2.7102 Å, b = 17.9485 Å, c = 2.7762 Å
α = 90.00°, β = 90.00°, γ = 90.00°
Last column: nearest neighbours and their distance in Å.
Space group Cmmm (No. 65)
Asymmetric unit:
Al (0.0000, 0.1797, 0.0000) x4  4 Fe 2.49, 4 Al 2.71-2.78
Fe (0.0000, 0.4075, 0.5000) x4  4 Al 2.49, 4 Re 2.55, 4 Fe 2.71-2.78
Re (0.0000, 0.0000, 0.0000) x2  8 Fe 2.55, 4 Re 2.71-2.78

---

Record 7
A geometry-optimized AlFe2Re structure. Source: Alexandria, functional PBE-GGA.

DFT formation energy = -0.029 eV per atom
total moment = 4.46 μB/f.u.
DOS(E_F) = 3.76 states/eV/f.u.

a = 5.1171 Å, b = 8.2933 Å, c = 2.5957 Å
α = 90.00°, β = 107.70°, γ = 90.00°
Last column: nearest neighbours and their distance in Å.
Space group C2/m (No. 12)
Asymmetric unit:
Al (0.0000, 0.0000, 0.0000) x2  2 Re 2.56, 4 Fe 2.57, 2 Al 2.60
Fe (0.2500, 0.2500, 0.5000) x4  4 Fe 2.56-2.60, 2 Re 2.57, 2 Al 2.57
Re (0.0000, 0.5000, 0.0000) x2  2 Al 2.56, 4 Fe 2.57, 2 Re 2.60

---

Record 8
A geometry-optimized AlFeRe3 structure. Source: Alexandria, functional PBE-GGA.

DFT formation energy = 1.417 eV per atom
total moment = 0.00 μB/f.u.
ΔE to the lowest computed polymorph = 0.000 eV/atom
DOS(E_F) = 5.29 states/eV/f.u.

a = 4.4061 Å, b = 4.4061 Å, c = 4.4061 Å
α = 90.00°, β = 90.00°, γ = 90.00°
Last column: nearest neighbours and their distance in Å.
Space group Pm-3m (No. 221)
Asymmetric unit:
Al (0.0000, 0.0000, 0.0000) x1  12 Re 3.12
Fe (0.5000, 0.5000, 0.5000) x1  6 Re 2.20
Re (0.0000, 0.5000, 0.5000) x3  2 Fe 2.20

---

Record 9
A geometry-optimized AlFe2Re structure. Source: Alexandria, functional PBE-GGA.

DFT formation energy = -0.046 eV per atom
total moment = 3.45 μB/f.u.
DOS(E_F) = 2.83 states/eV/f.u.

a = 2.6109 Å, b = 4.0039 Å, c = 5.0960 Å
α = 90.00°, β = 104.68°, γ = 90.00°
Last column: nearest neighbours and their distance in Å.
Space group P2/m (No. 10)
Asymmetric unit:
Al (0.0000, 0.0000, 0.0000) x1  8 Fe 2.55-2.83, 2 Re 2.55, 2 Al 2.61
Fe (0.2660, 0.5000, 0.7539) x2  4 Fe 2.50-2.61, 2 Re 2.54, 2 Al 2.55
Re (0.5000, 0.0000, 0.5000) x1  4 Fe 2.54, 2 Al 2.55, 2 Re 2.61

---

Record 10
A geometry-optimized Al2Fe2Re structure. Source: Alexandria, functional PBE-GGA.

DFT formation energy = 0.033 eV per atom
total moment = 3.96 μB/f.u.
ΔE to the lowest computed polymorph = 0.172 eV/atom
DOS(E_F) = 3.28 states/eV/f.u.

a = 7.1372 Å, b = 7.1372 Å, c = 2.6016 Å
α = 90.00°, β = 90.00°, γ = 90.00°
Last column: nearest neighbours and their distance in Å.
Space group P4/mbm (No. 127)
Asymmetric unit:
Al (0.1811, 0.3189, 0.0000) x4  6 Fe 2.43-2.53, 2 Al 2.60
Fe (0.1156, 0.6156, 0.5000) x4  3 Fe 2.33-2.60, 6 Al 2.43-2.53
Re (0.0000, 0.0000, 0.5000) x2  2 Re 2.60, 4 Fe 2.87

---

Record 11
A geometry-optimized AlFeRe2 structure. Source: Alexandria, functional PBE-GGA.

DFT formation energy = -0.016 eV per atom
total moment = 2.25 μB/f.u.
DOS(E_F) = 2.35 states/eV/f.u.

a = 2.7624 Å, b = 2.7624 Å, c = 25.8369 Å
α = 90.00°, β = 90.00°, γ = 120.00°
Last column: nearest neighbours and their distance in Å.
Space group R3m (No. 160, hexagonal axes)
Asymmetric unit:
Al (0.0000, 0.0000, 0.0000) x3  3 Fe 2.59, 3 Re 2.76, 6 Al 2.76
Fe (0.0000, 0.0000, 0.7454) x3  3 Al 2.59, 3 Re 2.69, 6 Fe 2.76
Re (0.0000, 0.0000, 0.2462) x3  9 Re 2.68-2.76, 3 Al 2.76
Re (0.0000, 0.0000, 0.4961) x3  9 Re 2.68-2.76, 3 Fe 2.69

---

Record 12
A geometry-optimized AlFeRe2 structure. Source: Alexandria, functional PBE-GGA.

DFT formation energy = 0.002 eV per atom
total moment = 1.15 μB/f.u.
DOS(E_F) = 2.42 states/eV/f.u.

a = 2.8100 Å, b = 2.8100 Å, c = 6.9234 Å
α = 90.00°, β = 90.00°, γ = 90.00°
Last column: nearest neighbours and their distance in Å.
Space group P4/mmm (No. 123)
Asymmetric unit:
Al (0.0000, 0.0000, 0.0000) x1  8 Re 2.70, 4 Al 2.81
Fe (0.0000, 0.0000, 0.5000) x1  8 Re 2.57, 4 Fe 2.81
Re (0.5000, 0.5000, 0.2638) x2  4 Fe 2.57, 4 Al 2.70, 4 Re 2.81

---

Record 13
A geometry-optimized AlFeRe2 structure. Source: Alexandria, functional PBE-GGA.

DFT formation energy = 0.009 eV per atom
total moment = 2.17 μB/f.u.
DOS(E_F) = 2.62 states/eV/f.u.

a = 2.6677 Å, b = 4.2493 Å, c = 5.0687 Å
α = 90.00°, β = 101.64°, γ = 90.00°
Last column: nearest neighbours and their distance in Å.
Space group P2/m (No. 10)
Asymmetric unit:
Al (0.0000, 0.0000, 0.0000) x1  2 Fe 2.62, 4 Re 2.66, 2 Al 2.67
Fe (0.5000, 0.0000, 0.5000) x1  4 Re 2.60, 2 Al 2.62, 2 Fe 2.67
Re (0.2851, 0.5000, 0.7500) x2  4 Re 2.56-2.68, 2 Fe 2.60, 2 Al 2.66

---

Record 14
A geometry-optimized AlFeRe2 structure. Source: Alexandria, functional PBE-GGA.

DFT formation energy = 0.042 eV per atom
total moment = 0.00 μB/f.u.
DOS(E_F) = 2.23 states/eV/f.u.

a = 2.7364 Å, b = 2.7364 Å, c = 25.6926 Å
α = 90.00°, β = 90.00°, γ = 120.00°
Last column: nearest neighbours and their distance in Å.
Space group R-3m (No. 166, hexagonal axes)
Asymmetric unit:
Al (0.0000, 0.0000, 0.0000) x3  6 Al 2.74, 6 Re 2.75
Fe (0.0000, 0.0000, 0.5000) x3  6 Re 2.57, 6 Fe 2.74
Re (0.0000, 0.0000, 0.2456) x6  3 Fe 2.57, 6 Re 2.74, 3 Al 2.75

---

Record 15
A geometry-optimized AlFeRe2 structure. Source: Alexandria, functional PBE-GGA.

DFT formation energy = -0.013 eV per atom
total moment = 2.01 μB/f.u.
DOS(E_F) = 2.84 states/eV/f.u.

a = 2.6849 Å, b = 4.2430 Å, c = 5.0190 Å
α = 90.00°, β = 101.53°, γ = 90.00°
Last column: nearest neighbours and their distance in Å.
Space group Pm (No. 6)
Asymmetric unit:
Al (0.0000, 0.0000, 0.0000) x1  2 Fe 2.51, 4 Re 2.60-2.73, 2 Al 2.68
Fe (0.7850, 0.5000, 0.2212) x1  2 Al 2.51, 4 Re 2.53-2.66, 2 Fe 2.68
Re (0.3098, 0.5000, 0.7311) x1  2 Fe 2.53-2.66, 4 Re 2.62-2.68, 2 Al 2.73
Re (0.5685, 0.0000, 0.4857) x1  3 Al 2.60-2.90, 4 Re 2.62-2.68, 2 Fe 2.63

---

Record 16
A geometry-optimized AlFe4Re structure. Source: Alexandria, functional PBE-GGA.

DFT formation energy = -0.007 eV per atom
total moment = 6.04 μB/f.u.
DOS(E_F) = 7.79 states/eV/f.u.

a = 6.6244 Å, b = 6.6244 Å, c = 6.6244 Å
α = 90.00°, β = 90.00°, γ = 90.00°
Last column: nearest neighbours and their distance in Å.
Space group F-43m (No. 216)
Asymmetric unit:
Al (0.0000, 0.0000, 0.0000) x4  12 Fe 2.75, 4 Re 2.87
Fe (0.1250, 0.1250, 0.3750) x16  6 Fe 2.34
Re (0.2500, 0.2500, 0.7500) x4  12 Fe 2.75, 4 Al 2.87

---

Record 17
A geometry-optimized AlFeReRu structure. Source: Alexandria, functional PBE-GGA.

DFT formation energy = -0.105 eV per atom
total moment = 1.68 μB/f.u.
DOS(E_F) = 3.44 states/eV/f.u.

a = 6.0054 Å, b = 6.0054 Å, c = 6.0054 Å
α = 90.00°, β = 90.00°, γ = 90.00°
Last column: nearest neighbours and their distance in Å.
Space group F-43m (No. 216)
Asymmetric unit:
Al (0.0000, 0.0000, 0.0000) x4  4 Fe 2.60, 4 Ru 2.60
Fe (0.2500, 0.2500, 0.2500) x4  4 Re 2.60, 4 Al 2.60
Re (0.0000, 0.0000, 0.5000) x4  4 Fe 2.60, 4 Ru 2.60
Ru (0.2500, 0.2500, 0.7500) x4  4 Re 2.60, 4 Al 2.60

---

Record 18
A geometry-optimized AlFeRe2Se structure. Source: Alexandria, functional PBE-GGA.

total moment = 3.07 μB/f.u.
energy relative to the elements, uncorrected = 1.755 eV per atom
DOS(E_F) = 6.59 states/eV/f.u.

a = 4.5364 Å, b = 4.5364 Å, c = 4.6348 Å
α = 90.00°, β = 90.00°, γ = 90.00°
Last column: nearest neighbours and their distance in Å.
Space group P4/mmm (No. 123)
Asymmetric unit:
Al (0.0000, 0.0000, 0.0000) x1  2 Se 2.32
Fe (0.5000, 0.5000, 0.0000) x1  4 Al 3.21, 8 Re 3.24
Re (0.0000, 0.5000, 0.5000) x2  2 Se 2.27
Se (0.0000, 0.0000, 0.5000) x1  4 Re 2.27, 2 Al 2.32

---

Record 19
A geometry-optimized AlFeRe2Si structure. Source: Alexandria, functional PBE-GGA.

total moment = 0.24 μB/f.u.
energy relative to the elements, uncorrected = 1.494 eV per atom
DOS(E_F) = 10.26 states/eV/f.u.

a = 4.3951 Å, b = 4.3951 Å, c = 4.3666 Å
α = 90.00°, β = 90.00°, γ = 90.00°
Last column: nearest neighbours and their distance in Å.
Space group P4/mmm (No. 123)
Asymmetric unit:
Al (0.0000, 0.0000, 0.0000) x1  2 Si 2.18
Fe (0.5000, 0.5000, 0.0000) x1  8 Re 3.10, 4 Al 3.11
Re (0.0000, 0.5000, 0.5000) x2  2 Si 2.20
Si (0.0000, 0.0000, 0.5000) x1  2 Al 2.18, 4 Re 2.20

---

Record 20
A geometry-optimized TaAlFeRe structure. Source: Alexandria, functional PBE-GGA.

DFT formation energy = -0.273 eV per atom
total moment = 0.86 μB/f.u.
DOS(E_F) = 4.09 states/eV/f.u.

a = 6.1425 Å, b = 6.1425 Å, c = 6.1425 Å
α = 90.00°, β = 90.00°, γ = 90.00°
Last column: nearest neighbours and their distance in Å.
Space group F-43m (No. 216)
Asymmetric unit:
Ta (0.0000, 0.0000, 0.0000) x4  4 Re 2.66, 4 Fe 2.66
Al (0.0000, 0.0000, 0.5000) x4  4 Fe 2.66, 4 Re 2.66
Fe (0.2500, 0.2500, 0.2500) x4  4 Ta 2.66, 4 Al 2.66
Re (0.2500, 0.2500, 0.7500) x4  4 Ta 2.66, 4 Al 2.66